[1]
YRhBr2 PBE optimized geometry; V = 21.200 Å³/atom; DFT total energy = -0.3401 Ry per atom; uncorrected formation energy = -0.34 eV per atom; relative energy among the computed polymorphs = 688 meV per atom
1.0
3.552 0.000 0.000
0.000 3.552 0.000
0.000 0.000 6.723
Y Rh Br
1 1 2
Direct
0.000 0.000 0.000
0.000 0.000 0.500
0.500 0.500 0.245
0.500 0.500 0.755

***

[2]
Pm10Pr4Ho PBE optimized geometry; V = 35.640 Å³/atom; energy of formation = 229 meV per atom; DFT total energy = -0.3320 Ry per atom
1.0
-5.773 5.773 4.011
5.773 -5.773 4.011
5.773 5.773 -4.011
Pm Pr Ho
10 4 1
Direct
0.001 0.791 0.211
0.209 0.420 0.211
0.209 0.999 0.789
0.250 0.750 0.500
0.420 0.209 0.211
0.580 0.791 0.789
0.750 0.250 0.500
0.791 0.001 0.211
0.791 0.580 0.789
0.999 0.209 0.789
0.273 0.273 0.545
0.273 0.727 0.000
0.727 0.273 0.000
0.727 0.727 0.455
0.500 0.500 0.000

***

[3]
Tb2Pa2Os3 PBE optimized geometry; V = 24.211 Å³/atom; energy of formation = -270 meV per atom; DFT total energy = -0.6702 Ry per atom
1.0
6.585 -1.926 0.000
6.585 1.926 0.000
-5.699 0.000 6.682
Tb Pa Os
2 2 3
Direct
0.066 0.066 0.376
0.934 0.934 0.624
0.320 0.320 0.913
0.680 0.680 0.087
0.000 0.000 0.000
0.370 0.370 0.288
0.630 0.630 0.712